No. 1
Li4ThAg: optimized geometry, PBE-GGA.

The structure in POSCAR format:
```
Li4ThAg
1.0
0.000 3.847 3.847
3.847 0.000 3.847
3.847 3.847 0.000
Li Th Ag
4 1 1
Direct
0.378 0.378 0.378
0.378 0.378 0.867
0.378 0.867 0.378
0.867 0.378 0.378
0.000 0.000 0.000
0.750 0.750 0.750
```

Its symmetry is F-43m.



No. 2
LiThAg4: optimized geometry, PBE-GGA.

The structure in POSCAR format:
```
LiThAg4
1.0
0.000 3.966 3.966
3.966 0.000 3.966
3.966 3.966 0.000
Li Th Ag
1 1 4
Direct
0.000 0.000 0.000
0.750 0.750 0.750
0.374 0.374 0.374
0.374 0.374 0.878
0.374 0.878 0.374
0.878 0.374 0.374
```

Its symmetry is F-43m.



No. 3
Li5ThAg4: optimized geometry, PBE-GGA.

The structure in POSCAR format:
```
Li5ThAg4
1.0
3.291 0.000 0.000
0.000 3.291 0.000
0.000 0.000 16.499
Li Th Ag
5 1 4
Direct
0.000 0.000 0.000
0.000 0.000 0.183
0.000 0.000 0.358
0.000 0.000 0.642
0.000 0.000 0.817
0.500 0.500 0.500
0.500 0.500 0.091
0.500 0.500 0.275
0.500 0.500 0.725
0.500 0.500 0.909
```

Its symmetry is P4/mmm.



No. 4
Li4ThAg5: optimized geometry, PBE-GGA.

The structure in POSCAR format:
```
Li4ThAg5
1.0
3.277 0.000 0.000
0.000 3.277 0.000
0.000 0.000 16.730
Li Th Ag
4 1 5
Direct
0.000 0.000 0.091
0.000 0.000 0.273
0.000 0.000 0.727
0.000 0.000 0.909
0.000 0.000 0.500
0.500 0.500 0.000
0.500 0.500 0.181
0.500 0.500 0.362
0.500 0.500 0.638
0.500 0.500 0.819
```

Its symmetry is P4/mmm.



No. 5
Li2ThAg: optimized geometry, PBE-GGA.

The structure in POSCAR format:
```
Li2ThAg
1.0
3.202 0.000 0.000
-1.601 2.773 0.000
0.000 0.000 31.876
Li Th Ag
6 3 3
Direct
0.000 0.000 0.101
0.000 0.000 0.899
0.333 0.667 0.566
0.333 0.667 0.767
0.667 0.333 0.233
0.667 0.333 0.434
0.000 0.000 0.000
0.333 0.667 0.667
0.667 0.333 0.333
0.000 0.000 0.500
0.333 0.667 0.167
0.667 0.333 0.833
```

Its symmetry is R-3m.



No. 6
Li2ThAg: optimized geometry, PBE-GGA.

The structure in POSCAR format:
```
Li2ThAg
1.0
3.319 0.000 0.000
0.000 3.319 0.000
0.000 0.000 7.567
Li Th Ag
2 1 1
Direct
0.000 0.000 0.185
0.000 0.000 0.815
0.500 0.500 0.500
0.500 0.500 0.000
```

Its symmetry is P4/mmm.



For each record above, in turn, the calculated energy relative to the elements values are 0.113 -0.065 -0.112 -0.171 0.153 0.039 eV per atom.
For each record above, in turn, the calculated energy values are -17.250 -21.130 -29.515 -31.037 -13.486 -13.943 eV per formula unit.